Material: MnRe2N
Method: DFT, PBE
State: optimized geometry

Cell: 4.8904 4.8904 6.0533 Å, 66.17 66.17 90.00°
Last column: nearest neighbours and their distance in Å.
Sites, in units of the cell vectors:
1 Re 0.5662 0.1250 0.2500  2 N 1.98
2 Re 0.1838 0.6250 0.2500  2 N 1.98
3 Re 0.3750 0.4338 0.7500  2 N 1.98
4 Re 0.8750 0.8162 0.7500  2 N 1.98
5 Mn 0.0000 0.0000 0.0000  4 Re 2.31
6 Mn 0.7500 0.2500 0.5000  4 Re 2.31
7 N 0.5000 0.5000 0.0000  4 Re 1.98
8 N 0.2500 0.7500 0.5000  4 Re 1.98

density of states at the Fermi level	8.673	states/eV/cell
mass density	12336	kg/m³
formation energy (no corrections)	673	meV per atom
SG	I-42d (122)
DFT total energy	-79.40	eV per cell